Run a
Tm4CoTe: relaxed, GGA-PBE.

## Properties
Space-group type: Pnma, No. 62
Fermi-level density of states in states/eV/f.u.: 4.80

Geometry as CIF:
```
data_Tm4CoTe
_chemical_formula_sum 'Tm16 Co4 Te4'
_space_group_name_H-M_alt 'P 1'
_space_group_IT_number 1
_space_group_name_Hall 'P 1'
_cell_length_a 8.097
_cell_length_b 3.836
_cell_length_c 19.117
_cell_angle_alpha 90.00
_cell_angle_beta 90.00
_cell_angle_gamma 90.00
loop_
_atom_site_label
_atom_site_type_symbol
_atom_site_fract_x
_atom_site_fract_y
_atom_site_fract_z
Tm1 Tm 0.014 0.250 0.067
Tm2 Tm 0.045 0.750 0.215
Tm3 Tm 0.139 0.750 0.645
Tm4 Tm 0.144 0.750 0.455
Tm5 Tm 0.356 0.250 0.955
Tm6 Tm 0.361 0.250 0.145
Tm7 Tm 0.455 0.250 0.715
Tm8 Tm 0.486 0.750 0.567
Tm9 Tm 0.514 0.250 0.433
Tm10 Tm 0.545 0.750 0.285
Tm11 Tm 0.639 0.750 0.855
Tm12 Tm 0.644 0.750 0.045
Tm13 Tm 0.856 0.250 0.545
Tm14 Tm 0.861 0.250 0.355
Tm15 Tm 0.955 0.250 0.785
Tm16 Tm 0.986 0.750 0.933
Co1 Co 0.239 0.250 0.550
Co2 Co 0.261 0.750 0.050
Co3 Co 0.739 0.250 0.950
Co4 Co 0.761 0.750 0.450
Te1 Te 0.244 0.250 0.313
Te2 Te 0.256 0.750 0.813
Te3 Te 0.744 0.250 0.187
Te4 Te 0.756 0.750 0.687
```

---

Run b
Tm4CoTe: relaxed, GGA-PBE.

## Properties
Space-group type: C2/m, No. 12
Fermi-level density of states in states/eV/f.u.: 3.66

Geometry as CIF:
```
data_Tm4CoTe
_chemical_formula_sum 'Tm8 Co2 Te2'
_space_group_name_H-M_alt 'P 1'
_space_group_IT_number 1
_space_group_name_Hall 'P 1'
_cell_length_a 8.983
_cell_length_b 8.983
_cell_length_c 9.177
_cell_angle_alpha 106.57
_cell_angle_beta 106.57
_cell_angle_gamma 32.38
loop_
_atom_site_label
_atom_site_type_symbol
_atom_site_fract_x
_atom_site_fract_y
_atom_site_fract_z
Tm1 Tm 0.012 0.012 0.246
Tm2 Tm 0.197 0.197 0.910
Tm3 Tm 0.230 0.230 0.296
Tm4 Tm 0.399 0.399 0.960
Tm5 Tm 0.601 0.601 0.040
Tm6 Tm 0.770 0.770 0.704
Tm7 Tm 0.803 0.803 0.090
Tm8 Tm 0.988 0.988 0.754
Co1 Co 0.087 0.087 0.048
Co2 Co 0.913 0.913 0.952
Te1 Te 0.149 0.149 0.558
Te2 Te 0.851 0.851 0.442
```

---

Of them, run b has the lowest stability.

---

Run a
Tm5CoTe2: relaxed, GGA-PBE.

## Properties
Space-group type: Pbam, No. 55
Fermi-level density of states in states/eV/f.u.: 7.71

Geometry as CIF:
```
data_Tm5CoTe2
_chemical_formula_sum 'Tm10 Co2 Te4'
_space_group_name_H-M_alt 'P 1'
_space_group_IT_number 1
_space_group_name_Hall 'P 1'
_cell_length_a 8.075
_cell_length_b 12.925
_cell_length_c 3.982
_cell_angle_alpha 90.00
_cell_angle_beta 90.00
_cell_angle_gamma 90.00
loop_
_atom_site_label
_atom_site_type_symbol
_atom_site_fract_x
_atom_site_fract_y
_atom_site_fract_z
Tm1 Tm 0.000 0.000 0.000
Tm2 Tm 0.162 0.323 0.000
Tm3 Tm 0.165 0.580 0.500
Tm4 Tm 0.335 0.080 0.500
Tm5 Tm 0.338 0.823 0.000
Tm6 Tm 0.500 0.500 0.000
Tm7 Tm 0.662 0.177 0.000
Tm8 Tm 0.665 0.920 0.500
Tm9 Tm 0.835 0.420 0.500
Tm10 Tm 0.838 0.677 0.000
Co1 Co 0.000 0.500 0.000
Co2 Co 0.500 0.000 0.000
Te1 Te 0.037 0.819 0.500
Te2 Te 0.463 0.319 0.500
Te3 Te 0.537 0.681 0.500
Te4 Te 0.963 0.181 0.500
```

---

Run b
Tm5CoTe2: relaxed, GGA-PBE.

## Properties
Space-group type: Cmcm, No. 63
Fermi-level density of states in states/eV/f.u.: 7.04

Geometry as CIF:
```
data_Tm5CoTe2
_chemical_formula_sum 'Tm10 Co2 Te4'
_space_group_name_H-M_alt 'P 1'
_space_group_IT_number 1
_space_group_name_Hall 'P 1'
_cell_length_a 8.503
_cell_length_b 8.503
_cell_length_c 13.274
_cell_angle_alpha 90.00
_cell_angle_beta 90.00
_cell_angle_gamma 146.23
loop_
_atom_site_label
_atom_site_type_symbol
_atom_site_fract_x
_atom_site_fract_y
_atom_site_fract_z
Tm1 Tm 0.101 0.899 0.616
Tm2 Tm 0.101 0.899 0.884
Tm3 Tm 0.263 0.737 0.250
Tm4 Tm 0.308 0.692 0.578
Tm5 Tm 0.308 0.692 0.922
Tm6 Tm 0.692 0.308 0.078
Tm7 Tm 0.692 0.308 0.422
Tm8 Tm 0.737 0.263 0.750
Tm9 Tm 0.899 0.101 0.116
Tm10 Tm 0.899 0.101 0.384
Co1 Co 0.217 0.783 0.750
Co2 Co 0.783 0.217 0.250
Te1 Te 0.087 0.913 0.115
Te2 Te 0.087 0.913 0.385
Te3 Te 0.913 0.087 0.615
Te4 Te 0.913 0.087 0.885
```

---

Of them, run b has the lowest stability.

---

Run a
Tm7Co2Te2: relaxed, GGA-PBE.

## Properties
Space-group type: Imm2, No. 44
Fermi-level density of states in states/eV/f.u.: 9.08

Geometry as CIF:
```
data_Tm7Co2Te2
_chemical_formula_sum 'Tm7 Co2 Te2'
_space_group_name_H-M_alt 'P 1'
_space_group_IT_number 1
_space_group_name_Hall 'P 1'
_cell_length_a 9.240
_cell_length_b 9.240
_cell_length_c 9.240
_cell_angle_alpha 156.30
_cell_angle_beta 66.49
_cell_angle_gamma 118.90
loop_
_atom_site_label
_atom_site_type_symbol
_atom_site_fract_x
_atom_site_fract_y
_atom_site_fract_z
Tm1 Tm 0.000 0.000 0.000
Tm2 Tm 0.286 0.421 0.865
Tm3 Tm 0.312 0.626 0.686
Tm4 Tm 0.556 0.421 0.135
Tm5 Tm 0.625 0.274 0.351
Tm6 Tm 0.922 0.274 0.649
Tm7 Tm 0.940 0.626 0.314
Co1 Co 0.168 0.931 0.237
Co2 Co 0.694 0.931 0.763
Te1 Te 0.267 0.767 0.500
Te2 Te 0.664 0.664 0.000
```

---

Run b
Tm7Co2Te2: relaxed, GGA-PBE.

## Properties
Space-group type: Cmmm, No. 65
Fermi-level density of states in states/eV/f.u.: 10.30

Geometry as CIF:
```
data_Tm7Co2Te2
_chemical_formula_sum 'Tm7 Co2 Te2'
_space_group_name_H-M_alt 'P 1'
_space_group_IT_number 1
_space_group_name_Hall 'P 1'
_cell_length_a 6.631
_cell_length_b 6.631
_cell_length_c 7.015
_cell_angle_alpha 90.00
_cell_angle_beta 90.00
_cell_angle_gamma 102.29
loop_
_atom_site_label
_atom_site_type_symbol
_atom_site_fract_x
_atom_site_fract_y
_atom_site_fract_z
Tm1 Tm 0.000 0.000 0.000
Tm2 Tm 0.000 0.500 0.233
Tm3 Tm 0.000 0.500 0.767
Tm4 Tm 0.500 0.000 0.233
Tm5 Tm 0.500 0.000 0.767
Tm6 Tm 0.500 0.500 0.222
Tm7 Tm 0.500 0.500 0.778
Co1 Co 0.280 0.720 0.000
Co2 Co 0.720 0.280 0.000
Te1 Te 0.213 0.213 0.500
Te2 Te 0.787 0.787 0.500
```

---

Of them, run b has the lowest stability.